# Sm7Y2Tm2, relaxed, DFT PBE
# **Total magnetization**: 0.00 μB/cell
# **Energy relative to the lowest polymorph listed for this composition**: 236 meV per atom
# **Raw total energy**: -51.0 eV/f.u.
# **D(E_F)**: 19.53 states/eV/f.u.
# **Formation enthalpy at 0 K**: 3.862 eV/f.u.
data_Sm7Y2Tm2
_space_group_name_H-M_alt 'P 1'
_space_group_IT_number 1
_cell_length_a 6.867
_cell_length_b 9.606
_cell_length_c 6.867
_cell_angle_alpha 90.00
_cell_angle_beta 122.40
_cell_angle_gamma 90.00
loop_
_space_group_symop_operation_xyz
'x,y,z'
loop_
_atom_site_label
_atom_site_type_symbol
_atom_site_fract_x
_atom_site_fract_y
_atom_site_fract_z
Sm1 Sm 0.000 0.314 0.500
Sm2 Sm 0.500 0.686 0.000
Sm3 Sm 0.000 0.686 0.500
Sm4 Sm 0.500 0.314 0.000
Sm5 Sm 0.000 0.000 0.000
Sm6 Sm 0.500 0.818 0.500
Sm7 Sm 0.500 0.182 0.500
Y1 Y 0.750 0.500 0.750
Y2 Y 0.250 0.500 0.250
Tm1 Tm 0.730 0.000 0.270
Tm2 Tm 0.270 0.000 0.730